Density functional theory data (GGA-PBE) for a relaxed structure of KSiAu2.

abc: 2.947 5.656 10.756
angles: 90.00 90.00 90.00
Space group Imm2 (No. 44)
One atom of each set of equivalent atoms:
K  0.000  0.000  0.000 [2 per cell]
Si  0.000  0.500  0.776 [2 per cell]
Au  0.000  0.000  0.464 [2 per cell]
Au  0.000  0.500  0.197 [2 per cell]

Values from the calculation:
- ΔE_f (raw): 93 meV/atom

---

Density functional theory data (GGA-PBE) for a relaxed structure of Dy4OsRh.

abc: 8.967 12.944 6.286
angles: 90.00 123.93 90.00
Space group C2/c (No. 15)
One atom of each set of equivalent atoms:
Dy  0.129  0.175  0.097 [8 per cell]
Dy  0.197  0.436  0.266 [8 per cell]
Os  0.000  0.001  0.750 [4 per cell]
Rh  0.000  0.364  0.750 [4 per cell]

Values from the calculation:
- Calculated formation energy: -0.47 eV/atom

---

Density functional theory data (GGA-PBE) for a relaxed structure of Li5GaAu.

abc: 6.351 7.552 9.846
angles: 90.00 107.91 90.00
Space group C2/c (No. 15)
One atom of each set of equivalent atoms:
Li  0.000  0.154  0.250 [4 per cell]
Li  0.111  0.477  0.150 [8 per cell]
Li  0.169  0.103  0.040 [8 per cell]
Ga  0.250  0.250  0.500 [4 per cell]
Au  0.000  0.212  0.750 [4 per cell]

Values from the calculation:
- Calculated formation energy: -0.26 eV/atom

---

Density functional theory data (GGA-PBE) for a relaxed structure of NdSmP2.

abc: 4.0926 4.0926 21.1471
angles: 90.00 90.00 120.00
Space group R3m (No. 160, hexagonal axes)
One atom of each set of equivalent atoms:
Nd  0.0000  0.0000  0.0000 [3 per cell]
Sm  0.0000  0.0000  0.1715 [3 per cell]
P  0.0000  0.0000  0.4195 [3 per cell]
P  0.0000  0.0000  0.5858 [3 per cell]

Values from the calculation:
- Calculated formation energy: -1.38 eV/atom

---

Density functional theory data (GGA-PBE) for a relaxed structure of TlAgPb2Cl7.

abc: 5.498 5.498 23.078
angles: 90.00 90.00 90.00
Space group I-4m2 (No. 119)
One atom of each set of equivalent atoms:
Tl  0.000  0.000  0.000 [2 per cell]
Ag  0.000  0.500  0.250 [2 per cell]
Pb  0.000  0.000  0.377 [4 per cell]
Cl  0.000  0.000  0.255 [4 per cell]
Cl  0.000  0.000  0.500 [2 per cell]
Cl  0.000  0.500  0.125 [4 per cell]
Cl  0.000  0.500  0.598 [4 per cell]

Values from the calculation:
- ΔE_f (raw): -854 meV/atom

---

Density functional theory data (GGA-PBE) for a relaxed structure of Ta6Fe5Ni.

abc: 13.702 6.160 4.330
angles: 90.00 108.28 90.00
Space group C2/m (No. 12)
One atom of each set of equivalent atoms:
Ta  0.000  0.248  0.000 [4 per cell]
Ta  0.167  0.249  0.668 [8 per cell]
Fe  0.000  0.000  0.500 [2 per cell]
Fe  0.165  0.500  0.165 [4 per cell]
Fe  0.167  0.000  0.167 [4 per cell]
Ni  0.000  0.500  0.500 [2 per cell]

Values from the calculation:
- Calculated formation energy: -0.13 eV/atom

---

no.,V (Å³ per cell),total moment (μB/f.u.)
1,179,0.00
2,605,0.00
3,449,0.00
4,307,0.00
5,698,0.00
6,347,4.23